(1)
Material: In2FeHg
Method: DFT, PBE-GGA
State: optimized geometry

```
4
Lattice="-2.678 0.522 1.319 1.171 -0.962 2.757 2.777 8.178 2.403" Properties=species:S:1:pos:R:3 pbc="T T T"
Fe -0.352 2.065 1.950
In 1.076 -0.335 2.316
In 2.069 2.981 3.021
Hg 1.622 5.673 4.530
```

Properties
ΔH_f (0 K) = 0.21 eV/atom
uncorrected energy = -3.355 eV per atom

---

(2)
Material: Pr8CoAg2
Method: DFT, PBE-GGA
State: optimized geometry

```
11
Lattice="-3.463 2.376 -2.451 -5.001 -2.082 5.047 3.744 6.636 5.966" Properties=species:S:1:pos:R:3 pbc="T T T"
Pr -3.528 3.566 8.440
Pr -1.192 3.363 0.121
Pr -0.866 8.461 4.602
Pr -3.812 1.639 2.151
Pr -0.908 5.290 6.410
Pr -0.737 2.736 3.694
Pr -3.854 -1.532 3.959
Pr -3.982 4.193 4.867
Ag -1.711 5.660 3.079
Ag -3.009 1.270 5.482
Co -1.731 1.188 -1.226
```

Properties
ΔH_f (0 K) = -0.06 eV/atom
uncorrected energy = -4.698 eV per atom

---

(3)
Material: NaY2VSi
Method: DFT, PBE-GGA
State: optimized geometry

```
5
Lattice="-3.950 -2.739 1.999 3.240 -2.469 3.018 -0.657 3.629 3.674" Properties=species:S:1:pos:R:3 pbc="T T T"
Y -0.329 1.814 1.837
Y -1.975 -1.370 1.000
Na 1.620 -1.234 1.509
V 0.000 0.000 0.000
Si -0.683 -0.790 4.346
```

Properties
uncorrected energy = -4.805 eV per atom
formation energy (no corrections) = 0.953 eV per atom

---

(4)
Material: SrLiBe2
Method: DFT, PBE-GGA
State: optimized geometry

```
4
Lattice="5.176 -0.031 -0.020 0.963 5.086 0.020 -2.463 -3.264 3.174" Properties=species:S:1:pos:R:3 pbc="T T T"
Be 3.338 -0.016 1.577
Be 5.536 4.558 0.000
Li 3.389 2.790 0.000
Sr 0.622 2.040 1.597
```

Properties
ΔH_f (0 K) = 0.43 eV/atom
uncorrected energy = -2.335 eV per atom

---

(5)
Material: LuZrTe
Method: DFT, PBE-GGA
State: optimized geometry

```
3
Lattice="-2.481 -0.946 2.628 -0.544 -3.285 -1.696 5.472 -0.065 2.486" Properties=species:S:1:pos:R:3 pbc="T T T"
Lu 2.434 -4.288 3.410
Te -0.036 -2.928 1.568
Zr 2.496 -1.374 1.861
```

Properties
uncorrected energy = -6.002 eV per atom
formation energy (no corrections) = -0.599 eV per atom

---

(6)
Material: MnCu2Sb2
Method: DFT, PBE-GGA
State: optimized geometry

```
10
Lattice="6.963 0.000 0.000 0.000 6.963 0.000 0.000 0.000 3.773" Properties=species:S:1:pos:R:3 pbc="T T T"
Sb 2.245 1.236 1.886
Sb 4.718 5.726 1.886
Sb 1.236 4.718 1.886
Sb 5.726 2.245 1.886
Mn 0.000 0.000 0.000
Mn 3.481 3.481 0.000
Cu 4.355 0.874 0.000
Cu 0.874 2.607 0.000
Cu 6.088 4.355 0.000
Cu 2.607 6.088 0.000
```

Properties
uncorrected energy = -4.904 eV per atom
formation energy (no corrections) = 0.217 eV per atom

---

(7)
Material: TmTiBeIr2
Method: DFT, PBE-GGA
State: optimized geometry

```
5
Lattice="3.842 0.000 0.000 0.000 3.842 0.000 -1.921 -1.921 5.767" Properties=species:S:1:pos:R:3 pbc="T T T"
Tm 0.000 0.000 0.000
Ir 0.000 0.000 4.436
Ir 1.921 1.921 1.330
Ti 1.921 0.000 2.883
Be 0.000 1.921 2.883
```

Properties
ΔH_f (0 K) = -0.70 eV/atom
uncorrected energy = -7.468 eV per atom

---

(8)
Material: CaEuHgGe
Method: DFT, PBE-GGA
State: optimized geometry

```
4
Lattice="5.328 0.000 0.000 2.664 4.615 0.000 2.664 1.538 4.351" Properties=species:S:1:pos:R:3 pbc="T T T"
Eu 2.664 1.538 1.088
Ca 7.993 4.615 3.263
Ge 0.000 0.000 0.000
Hg 5.328 3.076 2.175
```

Properties
ΔH_f (0 K) = -0.61 eV/atom
uncorrected energy = -4.914 eV per atom

---

(9)
Material: LiTlMo2
Method: DFT, PBE-GGA
State: optimized geometry

```
4
Lattice="5.327 0.005 0.000 -2.765 4.554 0.000 0.000 0.000 2.811" Properties=species:S:1:pos:R:3 pbc="T T T"
Tl 2.664 0.003 1.405
Mo 1.281 2.280 0.000
Mo 0.000 0.000 0.000
Li -1.382 2.277 1.405
```

Properties
ΔH_f (0 K) = 0.57 eV/atom
uncorrected energy = -5.915 eV per atom

---

(10)
Material: USBr2
Method: DFT, PBE-GGA
State: optimized geometry

```
4
Lattice="4.236 -0.008 0.912 -0.160 3.397 0.770 0.352 0.041 8.664" Properties=species:S:1:pos:R:3 pbc="T T T"
U 1.115 2.566 5.138
Br 0.707 0.327 7.019
Br 1.684 1.409 2.486
S 3.313 0.864 5.208
```

Properties
uncorrected energy = -5.843 eV per atom
formation energy (no corrections) = -1.152 eV per atom

---

(11)
Material: RbY2Pd2
Method: DFT, PBE-GGA
State: optimized geometry

```
5
Lattice="-1.291 2.878 -3.802 -4.326 -2.365 -0.321 -5.243 4.194 1.746" Properties=species:S:1:pos:R:3 pbc="T T T"
Rb 0.000 0.000 0.000
Pd -3.393 1.202 -1.147
Pd -7.467 3.506 -1.230
Y -6.189 1.043 -0.318
Y -4.671 3.665 -2.059
```

Properties
ΔH_f (0 K) = -0.33 eV/atom
uncorrected energy = -5.191 eV per atom

---

(12)
Material: Dy5MgIn2
Method: DFT, PBE-GGA
State: optimized geometry

```
16
Lattice="-3.418 -2.906 1.332 4.165 -2.709 -3.440 8.971 -4.094 14.085" Properties=species:S:1:pos:R:3 pbc="T T T"
Dy 3.811 -1.998 5.420
Dy 3.893 -4.955 7.402
Dy 7.671 -6.679 13.334
Dy 8.626 -8.952 10.827
Dy 4.522 -4.885 0.948
Dy 5.906 -7.710 6.557
Dy 1.092 -0.757 1.150
Dy 5.824 -4.754 4.575
Dy 2.047 -3.030 -1.356
Dy 5.196 -4.824 11.030
In 0.930 -4.215 1.413
In 8.788 -5.493 10.565
In 2.654 -5.002 4.120
In 7.064 -4.707 7.858
Mg 6.578 -7.165 9.469
Mg 3.140 -2.544 2.508
```

Properties
ΔH_f (0 K) = -0.17 eV/atom
uncorrected energy = -3.935 eV per atom